VASP calculation (PBE-GGA) on a relaxed V6ReRu2 crystal.

a = 13.0224 Å, b = 5.7937 Å, c = 4.1305 Å
α = 90.00°, β = 108.36°, γ = 90.00°
With the nearest neighbours (Å) after each atom.
Space group C2/m (No. 12)
Unique sites:
V (0.0000, 0.2487, 0.0000) (multiplicity 4)  2 Ru 2.52, 2 Re 2.53
V (0.1670, 0.2498, 0.6670) (multiplicity 8)  3 Ru 2.51-2.52, 1 Re 2.52
Re (0.0000, 0.5000, 0.5000) (multiplicity 2)  8 V 2.52-2.53
Ru (0.1671, 0.0000, 0.1672) (multiplicity 4)  8 V 2.51-2.52

## Properties
Formation enthalpy at 0 K   0.38 eV per atom
Total DFT energy (no corrections)   -164.49 eV/cell
N(E_F)   7.7 states/eV/f.u.

---

VASP calculation (PBE-GGA) on a relaxed V4ReRu crystal.

a = 7.1743 Å, b = 4.1352 Å, c = 7.0903 Å
α = 90.00°, β = 109.54°, γ = 90.00°
With the nearest neighbours (Å) after each atom.
Space group C2/m (No. 12)
Unique sites:
V (0.1253, 0.0000, 0.3745) (multiplicity 4)  1 Ru 2.50, 3 Re 2.53
V (0.1266, 0.5000, 0.8786) (multiplicity 4)  3 Ru 2.52, 1 Re 2.53
Re (0.0000, 0.5000, 0.5000) (multiplicity 2)  8 V 2.53
Ru (0.0000, 0.0000, 0.0000) (multiplicity 2)  8 V 2.50-2.52

## Properties
Energy relative to the lowest polymorph listed for this composition   749 meV/atom
Formation enthalpy at 0 K   0.42 eV per atom
Total DFT energy (no corrections)   -111.41 eV/cell
N(E_F)   6.4 states/eV/f.u.

---

VASP calculation (PBE-GGA) on a relaxed VReRu2 crystal.

a = 4.0841 Å, b = 4.0841 Å, c = 13.2060 Å
α = 90.00°, β = 90.00°, γ = 120.00°
With the nearest neighbours (Å) after each atom.
Space group R3m (No. 160, hexagonal axes)
Unique sites:
V (0.0000, 0.0000, 0.0000) (multiplicity 3)  6 Ru 2.49-2.56, 1 Re 2.50
Re (0.0000, 0.0000, 0.8110) (multiplicity 3)  1 V 2.50, 4 Ru 2.53-2.70
Ru (0.0000, 0.0000, 0.4082) (multiplicity 3)  3 Re 2.53, 3 V 2.56, 1 Ru 2.62
Ru (0.0000, 0.0000, 0.6067) (multiplicity 3)  3 V 2.49, 1 Ru 2.62, 1 Re 2.70

## Properties
Energy relative to the lowest polymorph listed for this composition   388 meV/atom
Formation enthalpy at 0 K   0.33 eV per atom
Total DFT energy (no corrections)   -116.34 eV/cell
N(E_F)   4.4 states/eV/f.u.

---

VASP calculation (PBE-GGA) on a relaxed VReRu crystal.

a = 4.2712 Å, b = 4.2712 Å, c = 2.6945 Å
α = 90.00°, β = 90.00°, γ = 120.00°
With the nearest neighbours (Å) after each atom.
Space group P3m1 (No. 156)
Unique sites:
V (0.0000, 0.0000, 0.0000) (multiplicity 1)  3 Re 2.57, 3 Ru 2.61, 2 V 2.69
Re (0.6667, 0.3333, 0.2642) (multiplicity 1)  3 V 2.57, 2 Re 2.69, 3 Ru 2.71
Ru (0.3333, 0.6667, 0.6847) (multiplicity 1)  3 V 2.61, 2 Ru 2.69, 6 Re 2.71-2.92

## Properties
Energy relative to the lowest polymorph listed for this composition   73 meV/atom
Formation enthalpy at 0 K   -0.02 eV per atom
Total DFT energy (no corrections)   -30.89 eV/cell
N(E_F)   4.2 states/eV/f.u.

---

VASP calculation (PBE-GGA) on a relaxed V4Re3Ru crystal.

a = 3.0369 Å, b = 4.2866 Å, c = 8.5702 Å
α = 90.00°, β = 90.00°, γ = 90.00°
With the nearest neighbours (Å) after each atom.
Space group Pmmm (No. 47)
Unique sites:
V (0.0000, 0.0000, 0.0000) (multiplicity 1)  8 Re 2.63-2.64
V (0.0000, 0.0000, 0.5000) (multiplicity 1)  4 Re 2.61, 4 Ru 2.63
V (0.0000, 0.5000, 0.2474) (multiplicity 2)  6 Re 2.61-2.63, 2 Ru 2.64
Re (0.5000, 0.0000, 0.2524) (multiplicity 2)  8 V 2.61-2.64
Re (0.5000, 0.5000, 0.0000) (multiplicity 1)  8 V 2.61-2.63
Ru (0.5000, 0.5000, 0.5000) (multiplicity 1)  8 V 2.63-2.64

## Properties
Formation enthalpy at 0 K   -0.33 eV per atom
Total DFT energy (no corrections)   -85.76 eV/cell
N(E_F)   4.2 states/eV/f.u.

---

VASP calculation (PBE-GGA) on a relaxed VReRu4 crystal.

a = 5.1916 Å, b = 8.4592 Å, c = 7.7376 Å
α = 90.00°, β = 93.26°, γ = 90.00°
With the nearest neighbours (Å) after each atom.
Space group C2/c (No. 15)
Unique sites:
V (0.0000, 0.0829, 0.2500) (multiplicity 4)  6 Ru 2.44-2.62, 2 Re 2.62
Re (0.0000, 0.3725, 0.7500) (multiplicity 4)  2 V 2.62, 8 Ru 2.74-2.88
Ru (0.1542, 0.3467, 0.1124) (multiplicity 8)  7 Ru 2.59-2.82, 2 V 2.62-2.85, 3 Re 2.74-2.88
Ru (0.1612, 0.1164, 0.5546) (multiplicity 8)  2 V 2.44-2.47, 5 Ru 2.59-2.72

## Properties
Formation enthalpy at 0 K   0.06 eV per atom
Total DFT energy (no corrections)   -233.13 eV/cell
N(E_F)   6.2 states/eV/f.u.